## Ac3Al4Cd4 (PBE)

Data for a relaxed structure of Ac3Al4Cd4.

Calculated values
* VASP energy: -3.127 eV/atom
* M_tot: 0.00 μB per cell
* calculated formation energy: -30.2 kJ per mole of atoms
* calculated volume: 292.7 Å³ per cell

abc: 4.873 7.553 9.135
angles: 114.42 105.47 90.00
Sites, in units of the cell vectors:
1 Ac 0.128 0.128 0.257
2 Al 0.500 0.825 0.000
3 Al 0.782 0.282 0.564
4 Cd 0.664 0.855 0.329
5 Ac 0.872 0.872 0.743
6 Cd 0.336 0.145 0.671
7 Al 0.218 0.718 0.436
8 Al 0.500 0.175 0.000
9 Cd 0.336 0.527 0.671
10 Cd 0.664 0.473 0.329
11 Ac 0.000 0.500 0.000